Here is a relaxed Al2Ru2Pb crystal from Alexandria via LeMat-Bulk. Energies are from PBE.

Cell lengths 7.279, 7.279, 3.116 Å; angles 90.00, 90.00, 90.00 degrees
Space group P4/mbm (No. 127)
Symmetry-distinct sites (fractional):
Al: 0.135 0.365 0.000 [4 per cell]
Ru: 0.156 0.656 0.500 [4 per cell]
Pb: 0.000 0.000 0.500 [2 per cell]

Computed properties:
N(E_F) in states/eV/f.u.: 4.09
Relative energy among the computed polymorphs in meV/atom: 0


Here is a relaxed LuHfTi crystal from Alexandria via LeMat-Bulk. Energies are from PBE.

Cell lengths 4.9232, 4.9232, 3.1922 Å; angles 90.00, 90.00, 120.00 degrees
Space group P-6m2 (No. 187)
Symmetry-distinct sites (fractional):
Lu: 0.0000 0.0000 0.0000 [1 per cell]
Hf: 0.3333 0.6667 0.5000 [1 per cell]
Ti: 0.6667 0.3333 0.5000 [1 per cell]

Computed properties:
N(E_F) in states/eV/f.u.: 4.25


Here is a relaxed MnV4RhS8 crystal from Alexandria via LeMat-Bulk. Energies are from PBE.

Cell lengths 6.8694, 6.8694, 17.9402 Å; angles 90.00, 90.00, 120.00 degrees
Space group R3m (No. 160, hexagonal axes)
Symmetry-distinct sites (fractional):
Mn: 0.0000 0.0000 0.0000 [3 per cell]
V: 0.0000 0.0000 0.2575 [3 per cell]
V: 0.1927 0.3853 0.4557 [9 per cell]
Rh: 0.0000 0.0000 0.6141 [3 per cell]
S: 0.0000 0.0000 0.3897 [3 per cell]
S: 0.0000 0.0000 0.8749 [3 per cell]
S: 0.0296 0.5148 0.3707 [9 per cell]
S: 0.1734 0.3469 0.1975 [9 per cell]

Computed properties:
N(E_F) in states/eV/f.u.: 9.68
Raw formation energy in eV per atom: -0.689


Here is a relaxed CrSnHg3 crystal from Alexandria via LeMat-Bulk. Energies are from PBE.

Cell lengths 5.250, 5.250, 5.250 Å; angles 90.00, 90.00, 90.00 degrees
Space group Pm-3m (No. 221)
Symmetry-distinct sites (fractional):
Cr: 0.000 0.000 0.000 [1 per cell]
Sn: 0.500 0.500 0.500 [1 per cell]
Hg: 0.000 0.000 0.500 [3 per cell]

Computed properties:
N(E_F) in states/eV/f.u.: 3.54
Relative energy among the computed polymorphs in meV/atom: 0


Here is a relaxed LiCaAgSe crystal from Alexandria via LeMat-Bulk. Energies are from PBE.

Cell lengths 7.066, 7.066, 7.066 Å; angles 90.00, 90.00, 90.00 degrees
Space group F-43m (No. 216)
Symmetry-distinct sites (fractional):
Li: 0.000 0.000 0.000 [4 per cell]
Ca: 0.000 0.000 0.500 [4 per cell]
Ag: 0.250 0.250 0.250 [4 per cell]
Se: 0.250 0.250 0.750 [4 per cell]

Computed properties:
N(E_F) in states/eV/f.u.: 0.03
Raw formation energy in eV per atom: -0.744


Here is a relaxed CdOs2Ru crystal from Alexandria via LeMat-Bulk. Energies are from PBE.

Cell lengths 2.756, 2.756, 8.174 Å; angles 90.00, 90.00, 90.00 degrees
Space group P4/mmm (No. 123)
Symmetry-distinct sites (fractional):
Cd: 0.000 0.000 0.000 [1 per cell]
Os: 0.500 0.500 0.274 [2 per cell]
Ru: 0.000 0.000 0.500 [1 per cell]

Computed properties:
N(E_F) in states/eV/f.u.: 3.35


Here is a relaxed TlHg2AsH crystal from Alexandria via LeMat-Bulk. Energies are from PBE.

Cell lengths 5.662, 5.662, 3.491 Å; angles 90.00, 90.00, 90.00 degrees
Space group P4/mmm (No. 123)
Symmetry-distinct sites (fractional):
Tl: 0.000 0.000 0.000 [1 per cell]
Hg: 0.000 0.500 0.500 [2 per cell]
As: 0.500 0.500 0.500 [1 per cell]
H: 0.500 0.500 0.000 [1 per cell]

Computed properties:
N(E_F) in states/eV/f.u.: 1.40


Here is a relaxed Pm4AuCl5 crystal from Alexandria via LeMat-Bulk. Energies are from PBE.

Cell lengths 18.134, 4.023, 8.606 Å; angles 90.00, 103.76, 90.00 degrees
Space group C2/m (No. 12)
Symmetry-distinct sites (fractional):
Pm: 0.004 0.000 0.241 [4 per cell]
Pm: 0.163 0.500 0.083 [4 per cell]
Au: 0.000 0.500 0.000 [2 per cell]
Cl: 0.000 0.500 0.500 [2 per cell]
Cl: 0.168 0.000 0.841 [4 per cell]
Cl: 0.169 0.000 0.320 [4 per cell]

Computed properties:
N(E_F) in states/eV/f.u.: 3.45
Raw formation energy in eV per atom: -1.643


Here is a relaxed RbPa4Te8 crystal from Alexandria via LeMat-Bulk. Energies are from PBE.

Cell lengths 13.116, 13.116, 13.116 Å; angles 90.00, 90.00, 90.00 degrees
Space group F-43m (No. 216)
Symmetry-distinct sites (fractional):
Rb: 0.000 0.000 0.000 [4 per cell]
Pa: 0.121 0.121 0.379 [16 per cell]
Te: 0.116 0.116 0.616 [16 per cell]
Te: 0.144 0.144 0.144 [16 per cell]

Computed properties:
N(E_F) in states/eV/f.u.: 27.19
Raw formation energy in eV per atom: -0.747
Relative energy among the computed polymorphs in meV/atom: 72


Here is a relaxed KRbSnO3 crystal from Alexandria via LeMat-Bulk. Energies are from PBE.

Cell lengths 6.452, 12.695, 5.845 Å; angles 90.00, 99.53, 90.00 degrees
Space group C2/c (No. 15)
Symmetry-distinct sites (fractional):
K: 0.000 0.087 0.250 [4 per cell]
Rb: 0.000 0.253 0.750 [4 per cell]
Sn: 0.000 0.447 0.250 [4 per cell]
O: 0.000 0.292 0.250 [4 per cell]
O: 0.200 0.467 0.993 [8 per cell]

Computed properties:
N(E_F) in states/eV/f.u.: 0.00
Raw formation energy in eV per atom: -1.605


Here is a relaxed MgTl2Ru crystal from Alexandria via LeMat-Bulk. Energies are from PBE.

Cell lengths 3.2667, 3.2667, 28.8511 Å; angles 90.00, 90.00, 120.00 degrees
Space group R3m (No. 160, hexagonal axes)
Symmetry-distinct sites (fractional):
Mg: 0.0000 0.0000 0.0000 [3 per cell]
Tl: 0.0000 0.0000 0.2386 [3 per cell]
Tl: 0.0000 0.0000 0.4724 [3 per cell]
Ru: 0.0000 0.0000 0.7324 [3 per cell]

Computed properties:
N(E_F) in states/eV/f.u.: 3.26
Relative energy among the computed polymorphs in meV/atom: 100


Here is a relaxed ZrSi2Pt crystal from Alexandria via LeMat-Bulk. Energies are from PBE.

Cell lengths 4.643, 3.008, 5.173 Å; angles 90.00, 113.73, 90.00 degrees
Space group P2/m (No. 10)
Symmetry-distinct sites (fractional):
Zr: 0.000 0.000 0.000 [1 per cell]
Si: 0.500 0.000 0.500 [1 per cell]
Si: 0.500 0.500 0.000 [1 per cell]
Pt: 0.000 0.500 0.500 [1 per cell]

Computed properties:
N(E_F) in states/eV/f.u.: 2.12
Raw formation energy in eV per atom: -0.440


Here is a relaxed ReBr2Cl crystal from Alexandria via LeMat-Bulk. Energies are from PBE.

Cell lengths 7.201, 7.201, 8.573 Å; angles 90.00, 90.00, 90.00 degrees
Space group I-42d (No. 122)
Symmetry-distinct sites (fractional):
Re: 0.000 0.000 0.000 [4 per cell]
Br: 0.163 0.250 0.125 [8 per cell]
Cl: 0.000 0.000 0.500 [4 per cell]

Computed properties:
N(E_F) in states/eV/f.u.: 1.46
Raw formation energy in eV per atom: 0.552
Relative energy among the computed polymorphs in meV/atom: 616


Here is a relaxed ScMnAg2 crystal from Alexandria via LeMat-Bulk. Energies are from PBE.

Cell lengths 6.648, 6.648, 6.648 Å; angles 90.00, 90.00, 90.00 degrees
Space group Fm-3m (No. 225)
Symmetry-distinct sites (fractional):
Sc: 0.000 0.000 0.000 [4 per cell]
Mn: 0.000 0.000 0.500 [4 per cell]
Ag: 0.250 0.250 0.250 [8 per cell]

Computed properties:
N(E_F) in states/eV/f.u.: 2.82
Relative energy among the computed polymorphs in meV/atom: 0


Here is a relaxed Ac2YHoO6 crystal from Alexandria via LeMat-Bulk. Energies are from PBE.

Cell lengths 6.032, 6.203, 10.556 Å; angles 90.00, 124.82, 90.00 degrees
Space group P2_1/c (No. 14)
Symmetry-distinct sites (fractional):
Ac: 0.236 0.047 0.250 [4 per cell]
Y: 0.500 0.000 0.000 [2 per cell]
Ho: 0.000 0.000 0.500 [2 per cell]
O: 0.135 0.201 0.937 [4 per cell]
O: 0.238 0.699 0.937 [4 per cell]
O: 0.365 0.050 0.749 [4 per cell]

Computed properties:
N(E_F) in states/eV/f.u.: 0.00
Raw formation energy in eV per atom: -3.454


Here is a relaxed TaNbMo3W crystal from Alexandria via LeMat-Bulk. Energies are from PBE.

Cell lengths 7.183, 3.211, 9.094 Å; angles 90.00, 108.43, 90.00 degrees
Space group P2_1/m (No. 11)
Symmetry-distinct sites (fractional):
Ta: 0.164 0.250 0.288 [2 per cell]
Nb: 0.493 0.250 0.627 [2 per cell]
Mo: 0.161 0.750 0.543 [2 per cell]
Mo: 0.166 0.750 0.038 [2 per cell]
Mo: 0.169 0.250 0.795 [2 per cell]
W: 0.500 0.250 0.121 [2 per cell]

Computed properties:
N(E_F) in states/eV/f.u.: 2.83


Here is a relaxed CdAuI crystal from Alexandria via LeMat-Bulk. Energies are from PBE.

Cell lengths 4.342, 4.517, 10.555 Å; angles 85.68, 84.51, 67.75 degrees
Space group P1 (No. 1)
Symmetry-distinct sites (fractional):
Cd: 0.000 0.000 0.000 [1 per cell]
Cd: 0.078 0.155 0.688 [1 per cell]
Au: 0.382 0.362 0.876 [1 per cell]
Au: 0.742 0.743 0.813 [1 per cell]
I: 0.049 0.446 0.179 [1 per cell]
I: 0.672 0.031 0.508 [1 per cell]

Computed properties:
N(E_F) in states/eV/f.u.: 0.81
Raw formation energy in eV per atom: -0.209
Relative energy among the computed polymorphs in meV/atom: 20


Here is a relaxed La2CoPb2 crystal from Alexandria via LeMat-Bulk. Energies are from PBE.

Cell lengths 7.316, 7.316, 5.162 Å; angles 90.00, 90.00, 90.00 degrees
Space group P4/mbm (No. 127)
Symmetry-distinct sites (fractional):
La: 0.167 0.333 0.000 [4 per cell]
Co: 0.000 0.000 0.500 [2 per cell]
Pb: 0.150 0.650 0.500 [4 per cell]

Computed properties:
N(E_F) in states/eV/f.u.: 6.43


Here is a relaxed K2NaRhBr6 crystal from Alexandria via LeMat-Bulk. Energies are from PBE.

Cell lengths 7.482, 7.669, 13.024 Å; angles 90.00, 124.90, 90.00 degrees
Space group P2_1/c (No. 14)
Symmetry-distinct sites (fractional):
K: 0.228 0.071 0.248 [4 per cell]
Na: 0.500 0.000 0.000 [2 per cell]
Rh: 0.000 0.000 0.500 [2 per cell]
Br: 0.136 0.223 0.961 [4 per cell]
Br: 0.232 0.680 0.955 [4 per cell]
Br: 0.313 0.007 0.729 [4 per cell]

Computed properties:
Raw formation energy in eV per atom: -1.144


Here is a relaxed CaPrTlZn crystal from Alexandria via LeMat-Bulk. Energies are from PBE.

Cell lengths 7.632, 7.632, 7.632 Å; angles 90.00, 90.00, 90.00 degrees
Space group F-43m (No. 216)
Symmetry-distinct sites (fractional):
Ca: 0.000 0.000 0.000 [4 per cell]
Pr: 0.000 0.000 0.500 [4 per cell]
Tl: 0.250 0.250 0.250 [4 per cell]
Zn: 0.250 0.250 0.750 [4 per cell]

Computed properties:
N(E_F) in states/eV/f.u.: 1.98


Here is a relaxed Sr4HgP crystal from Alexandria via LeMat-Bulk. Energies are from PBE.

Cell lengths 9.856, 9.856, 9.856 Å; angles 90.00, 90.00, 90.00 degrees
Space group F-43m (No. 216)
Symmetry-distinct sites (fractional):
Sr: 0.124 0.124 0.376 [16 per cell]
Hg: 0.000 0.000 0.000 [4 per cell]
P: 0.250 0.250 0.750 [4 per cell]

Computed properties:
N(E_F) in states/eV/f.u.: 7.19
Relative energy among the computed polymorphs in meV/atom: 982


Here is a relaxed PdPtF2 crystal from Alexandria via LeMat-Bulk. Energies are from PBE.

Cell lengths 5.956, 5.956, 5.956 Å; angles 90.00, 90.00, 90.00 degrees
Space group Fm-3m (No. 225)
Symmetry-distinct sites (fractional):
Pd: 0.000 0.000 0.000 [4 per cell]
Pt: 0.000 0.000 0.500 [4 per cell]
F: 0.250 0.250 0.250 [8 per cell]

Computed properties:
N(E_F) in states/eV/f.u.: 9.45
Raw formation energy in eV per atom: 0.071
Relative energy among the computed polymorphs in meV/atom: 651


Here is a relaxed SrTc2Os crystal from Alexandria via LeMat-Bulk. Energies are from PBE.

Cell lengths 2.974, 5.018, 9.777 Å; angles 90.00, 90.00, 90.00 degrees
Space group Imm2 (No. 44)
Symmetry-distinct sites (fractional):
Sr: 0.000 0.000 0.000 [2 per cell]
Tc: 0.000 0.000 0.495 [2 per cell]
Tc: 0.000 0.500 0.784 [2 per cell]
Os: 0.000 0.500 0.214 [2 per cell]

Computed properties:
N(E_F) in states/eV/f.u.: 4.12
Relative energy among the computed polymorphs in meV/atom: 222


Here is a relaxed CsZr2AsBr crystal from Alexandria via LeMat-Bulk. Energies are from PBE.

Cell lengths 5.133, 5.133, 5.859 Å; angles 90.00, 90.00, 90.00 degrees
Space group P4/mmm (No. 123)
Symmetry-distinct sites (fractional):
Cs: 0.000 0.000 0.000 [1 per cell]
Zr: 0.000 0.500 0.500 [2 per cell]
As: 0.500 0.500 0.000 [1 per cell]
Br: 0.500 0.500 0.500 [1 per cell]

Computed properties:
N(E_F) in states/eV/f.u.: 4.93
Raw formation energy in eV per atom: 0.726


no.,calculated total energy (eV/atom)
1,-6.1133
2,-7.3263
3,-6.8332
4,-2.3646
5,-3.3068
6,-7.7404
7,-2.0225
8,-4.7946
9,-5.6768
10,-5.0951
11,-3.5770
12,-6.7983
13,-3.8581
14,-5.3008
15,-8.3550
16,-11.3365
17,-2.1231
18,-5.0516
19,-3.2346
20,-2.9675
21,-1.6329
22,-3.6735
23,-7.5786
24,-4.1285